GeCOF2: relaxed, PBE.

## Properties
The value obtained for the total magnetization is 1.6 μB per cell. The energy above the most stable polymorph in this dataset is 98 meV/atom. The calculated total energy comes out at -4.3971 eV per atom.

Cell: 3.9883 3.9883 3.6775 Å, 90.00 90.00 90.00°
Last column: magnetic moment on the atom in μB.
Element x y z (fractional)
F: 0.5000 0.0000 0.0000  0.03
F: 0.0000 0.5000 0.0000  0.03
C: 0.5000 0.5000 0.5000  0.86
Ge: 0.0000 0.0000 0.0000  0.00
O: 0.0000 0.0000 0.5000  -0.04

***

GeRuCF2: relaxed, PBE.

## Properties
The value obtained for the total magnetization is 0.0 μB per cell. The calculated total energy comes out at -5.3071 eV per atom.

Cell: 4.2220 3.8952 4.2220 Å, 90.00 90.00 90.00°
Element x y z (fractional)
F: 0.5000 0.0000 0.0000
F: 0.0000 0.0000 0.5000
Ge: 0.5000 0.5000 0.5000
Ru: 0.0000 0.0000 0.0000
C: 0.0000 0.5000 0.0000